# Mg3ZrF

An optimized crystal structure of Mg3ZrF (PBE, Alexandria via LeMat-Bulk).

Cell: 5.863 5.863 5.863 Å, 90.00 90.00 90.00°
Space group Pm-3m (No. 221)
Unique sites:
Mg1 0.000 0.000 0.500 [3 per cell]
Zr1 0.000 0.000 0.000 [1 per cell]
F1 0.500 0.500 0.500 [1 per cell]

Properties
Energy above the lowest structure with this stoichiometry in kJ/mol of atoms: 140.7
Formation energy without anion corrections in eV/atom: 0.798

# NaSr2GeO4

An optimized crystal structure of NaSr2GeO4 (PBE, Alexandria via LeMat-Bulk).

Cell: 3.714 12.404 12.188 Å, 90.00 90.00 90.00°
Space group Cmcm (No. 63)
Unique sites:
Na1 0.000 0.115 0.250 [4 per cell]
Sr1 0.000 0.373 0.037 [8 per cell]
Ge1 0.000 0.169 0.750 [4 per cell]
O1 0.000 0.000 0.000 [4 per cell]
O2 0.000 0.259 0.630 [8 per cell]
O3 0.000 0.390 0.250 [4 per cell]

Properties
Formation energy without anion corrections in eV/atom: -2.052

# Ba6HPd2

An optimized crystal structure of Ba6HPd2 (PBE, Alexandria via LeMat-Bulk).

Cell: 15.226 4.333 13.094 Å, 90.00 114.88 90.00°
Space group C2/m (No. 12)
Unique sites:
Ba1 0.002 0.000 0.272 [4 per cell]
Ba2 0.160 0.500 0.053 [4 per cell]
Ba3 0.188 0.000 0.612 [4 per cell]
H1 0.000 0.000 0.500 [2 per cell]
Pd1 0.174 0.500 0.804 [4 per cell]

Properties
Energy above the lowest structure with this stoichiometry in kJ/mol of atoms: 4.6

Magnetic moment? In order: 0.587, 0.000, 0.000 μB/atom.